[1]
K2LiTa2: relaxed, PBE.

CIF file:
```
data_K2LiTa2
_chemical_formula_sum 'K4 Li2 Ta4'
_cell_length_a 10.6939
_cell_length_b 10.6939
_cell_length_c 2.9536
_cell_angle_alpha 90.00
_cell_angle_beta 90.00
_cell_angle_gamma 90.00
_symmetry_space_group_name_H-M 'P 4/m b m'
_symmetry_Int_Tables_number 127
_symmetry_space_group_name_Hall '-P 4 2ab'
loop_
_atom_site_label
_atom_site_type_symbol
_atom_site_fract_x
_atom_site_fract_y
_atom_site_fract_z
_atom_site_occupancy
K1 K 0.2069 0.2931 0.0000 1
Li1 Li 0.0000 0.0000 0.5000 1
Ta1 Ta 0.0795 0.5795 0.5000 1
```

[2]
Mg5Si6: relaxed, PBE.

CIF file:
```
data_Mg5Si6
_chemical_formula_sum 'Mg20 Si24'
_cell_length_a 29.6832
_cell_length_b 4.0679
_cell_length_c 6.8171
_cell_angle_alpha 90.00
_cell_angle_beta 102.41
_cell_angle_gamma 90.00
_symmetry_space_group_name_H-M 'C 1 m 1'
_symmetry_Int_Tables_number 8
_symmetry_space_group_name_Hall 'C -2y'
loop_
_atom_site_label
_atom_site_type_symbol
_atom_site_fract_x
_atom_site_fract_y
_atom_site_fract_z
_atom_site_occupancy
Mg1 Mg 0.0000 0.0000 0.0000 1
Mg2 Mg 0.0306 0.5000 0.7113 1
Mg3 Mg 0.0735 0.0000 0.4549 1
Mg4 Mg 0.1478 0.0000 0.2387 1
Mg5 Mg 0.2106 0.0000 0.8593 1
Mg6 Mg 0.2497 0.0000 0.3946 1
Mg7 Mg 0.2926 0.5000 0.1075 1
Mg8 Mg 0.3273 0.0000 0.8266 1
Mg9 Mg 0.3657 0.0000 0.3615 1
Mg10 Mg 0.4572 0.5000 0.4496 1
Si1 Si 0.0120 0.5000 0.3051 1
Si2 Si 0.0744 0.5000 0.1276 1
Si3 Si 0.0912 0.0000 0.8701 1
Si4 Si 0.1414 0.5000 0.8535 1
Si5 Si 0.1767 0.5000 0.5331 1
Si6 Si 0.2029 0.5000 0.1496 1
Si7 Si 0.2583 0.5000 0.7070 1
Si8 Si 0.3158 0.5000 0.5095 1
Si9 Si 0.3859 0.5000 0.0812 1
Si10 Si 0.3914 0.5000 0.7195 1
Si11 Si 0.4349 0.0000 0.1005 1
Si12 Si 0.4399 0.0000 0.7376 1
```

raw formation energy: 0.056 eV per atom

| no. | magnetic moment (μB/f.u.) | E above lowest polymorph (kcal/mol of atoms) |
| --- | --- | --- |
| 1 | 1.28 | 0.00 |
| 2 | 0.00 | 0.72 |